The following is a PBE calculation of an optimized crystal structure of H3SCl2, from Alexandria.

Cell lengths 6.087, 6.087, 6.913 Å; angles 90.00, 90.00, 67.86 degrees
Atoms (fractional coordinates):
H (0.240, 0.760, 0.500)
H (0.297, 0.514, 0.705)
H (0.486, 0.703, 0.705)
H (0.514, 0.297, 0.205)
H (0.703, 0.486, 0.205)
H (0.760, 0.240, 0.000)
S (0.241, 0.759, 0.699)
S (0.759, 0.241, 0.199)
Cl (0.169, 0.571, 0.197)
Cl (0.429, 0.831, 0.197)
Cl (0.571, 0.169, 0.697)
Cl (0.831, 0.429, 0.697)

Properties
M_tot = 1.00 μB per formula unit
raw total energy = -3.103 eV per atom
density = 1.484 Mg/m³

---

The following is a PBE calculation of an optimized crystal structure of Ac4CCl5, from Alexandria.

Cell lengths 9.637, 9.637, 8.626 Å; angles 106.31, 106.31, 24.64 degrees
Atoms (fractional coordinates):
Ac (0.002, 0.002, 0.284)
Ac (0.350, 0.350, 0.400)
Ac (0.650, 0.650, 0.600)
Ac (0.998, 0.998, 0.716)
C (0.500, 0.500, 0.500)
Cl (0.164, 0.164, 0.859)
Cl (0.171, 0.171, 0.353)
Cl (0.500, 0.500, 0.000)
Cl (0.829, 0.829, 0.647)
Cl (0.836, 0.836, 0.141)

Properties
M_tot = 0.33 μB per formula unit
density = 5.696 Mg/m³
raw formation energy = -1.603 eV per atom
density of states at the Fermi level = 0.51 states/eV per atom

---

The following is a PBE calculation of an optimized crystal structure of KBaNa3, from Alexandria.

Cell lengths 10.790, 10.790, 10.790 Å; angles 41.49, 41.49, 41.49 degrees
Atoms (fractional coordinates):
K (0.073, 0.073, 0.073)
K (0.927, 0.927, 0.927)
Ba (0.336, 0.336, 0.336)
Ba (0.664, 0.664, 0.664)
Na (0.109, 0.624, 0.624)
Na (0.376, 0.376, 0.891)
Na (0.376, 0.891, 0.376)
Na (0.624, 0.109, 0.624)
Na (0.624, 0.624, 0.109)
Na (0.891, 0.376, 0.376)

Properties
M_tot = 0.00 μB per formula unit
density = 1.635 Mg/m³
density of states at the Fermi level = 0.91 states/eV per atom
energy above the most stable polymorph in this dataset = 0.00 eV/f.u.
formation enthalpy at 0 K = 0.045 eV/atom

---

The following is a PBE calculation of an optimized crystal structure of AcPr6Pb, from Alexandria.

Cell lengths 5.121, 5.121, 10.667 Å; angles 90.00, 90.00, 90.00 degrees
Atoms (fractional coordinates):
Ac (0.000, 0.000, 0.000)
Pr (0.000, 0.500, 0.262)
Pr (0.000, 0.500, 0.738)
Pr (0.500, 0.000, 0.262)
Pr (0.500, 0.000, 0.738)
Pr (0.500, 0.500, 0.000)
Pr (0.500, 0.500, 0.500)
Pb (0.000, 0.000, 0.500)

Properties
M_tot = 0.00 μB per formula unit
density = 7.597 Mg/m³
density of states at the Fermi level = 1.22 states/eV per atom
formation enthalpy at 0 K = -0.135 eV/atom

---

The following is a PBE calculation of an optimized crystal structure of LiCa3Ge3, from Alexandria.

Cell lengths 5.832, 5.832, 14.359 Å; angles 90.00, 90.00, 135.88 degrees
Atoms (fractional coordinates):
Li (0.000, 0.000, 0.000)
Li (0.000, 0.000, 0.500)
Ca (0.018, 0.982, 0.750)
Ca (0.297, 0.703, 0.603)
Ca (0.297, 0.703, 0.897)
Ca (0.703, 0.297, 0.103)
Ca (0.703, 0.297, 0.397)
Ca (0.982, 0.018, 0.250)
Ge (0.272, 0.728, 0.250)
Ge (0.410, 0.590, 0.101)
Ge (0.410, 0.590, 0.399)
Ge (0.590, 0.410, 0.601)
Ge (0.590, 0.410, 0.899)
Ge (0.728, 0.272, 0.750)

Properties
M_tot = 0.00 μB per formula unit
density = 3.370 Mg/m³
density of states at the Fermi level = 0.36 states/eV per atom
formation enthalpy at 0 K = -0.588 eV/atom

---

The following is a PBE calculation of an optimized crystal structure of NaLa2Y, from Alexandria.

Cell lengths 9.111, 9.111, 6.721 Å; angles 90.00, 90.00, 90.00 degrees
Atoms (fractional coordinates):
Na (0.000, 0.000, 0.000)
Na (0.000, 0.500, 0.250)
Na (0.500, 0.000, 0.750)
Na (0.500, 0.500, 0.500)
La (0.237, 0.250, 0.125)
La (0.250, 0.737, 0.375)
La (0.250, 0.763, 0.875)
La (0.263, 0.250, 0.625)
La (0.737, 0.750, 0.625)
La (0.750, 0.237, 0.875)
La (0.750, 0.263, 0.375)
La (0.763, 0.750, 0.125)
Y (0.000, 0.000, 0.500)
Y (0.000, 0.500, 0.750)
Y (0.500, 0.000, 0.250)
Y (0.500, 0.500, 0.000)

Properties
M_tot = 0.00 μB per formula unit
density = 4.639 Mg/m³
density of states at the Fermi level = 2.05 states/eV per atom
energy above the most stable polymorph in this dataset = 1.45 eV/f.u.
formation enthalpy at 0 K = 0.427 eV/atom

---

The following is a PBE calculation of an optimized crystal structure of BeTcPt2, from Alexandria.

Cell lengths 9.951, 2.752, 4.361 Å; angles 90.00, 114.47, 90.00 degrees
Atoms (fractional coordinates):
Be (0.000, 0.000, 0.000)
Be (0.500, 0.500, 0.000)
Tc (0.280, 0.000, 0.762)
Tc (0.780, 0.500, 0.762)
Pt (0.001, 0.500, 0.495)
Pt (0.204, 0.500, 0.191)
Pt (0.501, 0.000, 0.495)
Pt (0.704, 0.000, 0.191)

Properties
M_tot = 0.00 μB per formula unit
density = 15.189 Mg/m³
density of states at the Fermi level = 0.88 states/eV per atom
formation enthalpy at 0 K = -0.233 eV/atom

---

The following is a PBE calculation of an optimized crystal structure of Zn3Fe, from Alexandria.

Cell lengths 2.694, 4.292, 4.692 Å; angles 90.00, 90.00, 90.00 degrees
Atoms (fractional coordinates):
Zn (0.000, 0.000, 0.000)
Zn (0.000, 0.500, 0.340)
Zn (0.500, 0.500, 0.818)
Fe (0.500, 0.000, 0.499)

Properties
M_tot = 2.18 μB per formula unit
density = 7.716 Mg/m³
density of states at the Fermi level = 0.63 states/eV per atom
formation enthalpy at 0 K = 0.038 eV/atom